# PBE Pm7P5Se, optimized geometry
# - Formation energy without anion corrections: -1.49 eV/atom
# - Volume: 26.2 A^3/atom
# - DOS at the Fermi energy: 21.64 states/eV per cell
# - Magnetic moment: 0.02 μB/atom
data_Pm7P5Se
_cell_length_a 13.6371
_cell_length_b 4.1066
_cell_length_c 24.2850
_cell_angle_alpha 90.00
_cell_angle_beta 90.02
_cell_angle_gamma 90.00
_space_group_name_H-M_alt 'C 1 2/m 1'
_space_group_IT_number 12
_space_group_name_Hall '-C 2y'
loop_
_atom_site_label
_atom_site_type_symbol
_atom_site_fract_x
_atom_site_fract_y
_atom_site_fract_z
Pm1 Pm 0.0400 0.0000 0.2500
Pm2 Pm 0.0877 0.5000 0.1036
Pm3 Pm 0.0876 0.5000 0.3965
Pm4 Pm 0.1373 0.0000 0.5353
Pm5 Pm 0.1373 0.0000 0.9648
Pm6 Pm 0.1775 0.5000 0.6741
Pm7 Pm 0.1774 0.5000 0.8260
P1 P 0.0000 0.5000 0.0000
P2 P 0.0000 0.5000 0.5000
P3 P 0.0452 0.0000 0.6450
P4 P 0.0450 0.0000 0.8550
P5 P 0.2272 0.0000 0.0739
P6 P 0.2271 0.0000 0.4261
Se1 Se 0.2018 0.5000 0.2497

=====

# PBE La7Ho2Tm3, optimized geometry
# - DFT formation energy: 0.8 eV per formula unit
# - Volume: 34.1 A^3/atom
# - DOS at the Fermi energy: 16.27 states/eV per cell
# - Magnetic moment: 0.00 μB/atom
data_La7Ho2Tm3
_cell_length_a 6.5068
_cell_length_b 3.5663
_cell_length_c 17.7023
_cell_angle_alpha 90.00
_cell_angle_beta 95.57
_cell_angle_gamma 90.00
_space_group_name_H-M_alt 'P 1 2/m 1'
_space_group_IT_number 10
_space_group_name_Hall '-P 2y'
loop_
_atom_site_label
_atom_site_type_symbol
_atom_site_fract_x
_atom_site_fract_y
_atom_site_fract_z
La1 La 0.0000 0.0000 0.0000
La2 La 0.2278 0.5000 0.1736
La3 La 0.2624 0.5000 0.4907
La4 La 0.2779 0.0000 0.8328
Ho1 Ho 0.0584 0.5000 0.6700
Tm1 Tm 0.4589 0.0000 0.3383
Tm2 Tm 0.5000 0.5000 0.0000

=====

# PBE ZrSc6Tc2, optimized geometry
# - DFT formation energy: -1.3 eV per formula unit
# - Volume: 21.2 A^3/atom
# - DOS at the Fermi energy: 21.78 states/eV per cell
# - Magnetic moment: 0.08 μB/atom
data_ZrSc6Tc2
_cell_length_a 11.2447
_cell_length_b 3.3585
_cell_length_c 10.7773
_cell_angle_alpha 90.00
_cell_angle_beta 110.21
_cell_angle_gamma 90.00
_space_group_name_H-M_alt 'C 1 2/m 1'
_space_group_IT_number 12
_space_group_name_Hall '-C 2y'
loop_
_atom_site_label
_atom_site_type_symbol
_atom_site_fract_x
_atom_site_fract_y
_atom_site_fract_z
Zr1 Zr 0.0000 0.0000 0.0000
Sc1 Sc 0.0292 0.0000 0.3139
Sc2 Sc 0.1802 0.5000 0.5897
Sc3 Sc 0.1908 0.5000 0.8771
Tc1 Tc 0.1589 0.5000 0.2073

=====

# PBE Ce4SmO10, optimized geometry
# - Formation energy without anion corrections: -3.29 eV/atom
# - Energy relative to the lowest polymorph listed for this composition: 2.9 meV/atom
# - Volume: 13.8 A^3/atom
# - DOS at the Fermi energy: 42.30 states/eV per cell
# - Magnetic moment: 0.07 μB/atom
data_Ce4SmO10
_cell_length_a 3.8825
_cell_length_b 3.8825
_cell_length_c 47.4300
_cell_angle_alpha 90.00
_cell_angle_beta 90.00
_cell_angle_gamma 120.00
_space_group_name_H-M_alt 'R -3 m'
_space_group_IT_number 166
_space_group_name_Hall '-R 3 2"'
loop_
_atom_site_label
_atom_site_type_symbol
_atom_site_fract_x
_atom_site_fract_y
_atom_site_fract_z
Ce1 Ce 0.0000 0.0000 0.0996
Ce2 Ce 0.0000 0.0000 0.3002
Sm1 Sm 0.0000 0.0000 0.5000
O1 O 0.0000 0.0000 0.0494
O2 O 0.0000 0.0000 0.1482
O3 O 0.0000 0.0000 0.2508
O4 O 0.0000 0.0000 0.3499
O5 O 0.0000 0.0000 0.4480

=====

# PBE KTe2Au, optimized geometry
# - Formation energy without anion corrections: -0.42 eV/atom
# - Volume: 31.8 A^3/atom
# - DOS at the Fermi energy: 2.00 states/eV per cell
# - Magnetic moment: 0.00 μB/atom
data_KTe2Au
_cell_length_a 8.5835
_cell_length_b 8.5835
_cell_length_c 6.8986
_cell_angle_alpha 90.00
_cell_angle_beta 90.00
_cell_angle_gamma 90.00
_space_group_name_H-M_alt 'I -4 2 d'
_space_group_IT_number 122
_space_group_name_Hall 'I -4 2bw'
loop_
_atom_site_label
_atom_site_type_symbol
_atom_site_fract_x
_atom_site_fract_y
_atom_site_fract_z
K1 K 0.0000 0.0000 0.0000
Te1 Te 0.1730 0.2500 0.6250
Au1 Au 0.0000 0.0000 0.5000

=====

# PBE CsKNF2, optimized geometry
# - Formation energy without anion corrections: -0.89 eV/atom
# - Energy relative to the lowest polymorph listed for this composition: 0.0 meV/atom
# - Volume: 26.6 A^3/atom
# - DOS at the Fermi energy: 0.07 states/eV per cell
# - Magnetic moment: 0.61 μB/atom
data_CsKNF2
_cell_length_a 5.0882
_cell_length_b 5.0882
_cell_length_c 5.1394
_cell_angle_alpha 90.00
_cell_angle_beta 90.00
_cell_angle_gamma 90.00
_space_group_name_H-M_alt 'P 4/m m m'
_space_group_IT_number 123
_space_group_name_Hall '-P 4 2'
loop_
_atom_site_label
_atom_site_type_symbol
_atom_site_fract_x
_atom_site_fract_y
_atom_site_fract_z
Cs1 Cs 0.0000 0.0000 0.0000
K1 K 0.5000 0.5000 0.5000
N1 N 0.5000 0.5000 0.0000
F1 F 0.0000 0.5000 0.5000

=====

Which value of magnetic moment does entry 6 give? 0.61 μB/atom

=====

magnetic moment of number 5 (KTe2Au)? 0.00 μB/atom

=====

What is the formula in the first record? Pm7P5Se

=====

What is the volume in the fourth record? 13.8 A^3/atom